Entry 1:
LiCaPrIr: optimized geometry, PBE.

```
LiCaPrIr
1.0
5.052 0.000 0.000
2.526 4.375 0.000
2.526 1.458 4.125
Ir Pr Li Ca
1 1 1 1
direct
0.500 0.500 0.500 Ir
0.750 0.750 0.750 Pr
0.000 0.000 0.000 Li
0.250 0.250 0.250 Ca
```

Its density of states at the Fermi level is 2.81 states/eV/cell. The calculation puts the volume at 22.8 A^3/atom. As for the space-group type: F-43m (216). The energy of formation from the pure elements comes out at -0.31 eV/atom. Its total energy is -18.808 eV/cell.

---

Entry 2:
Li4Ce3ScSe8: optimized geometry, PBE.

```
Li4Ce3ScSe8
1.0
8.252 0.000 0.000
0.000 8.045 -0.153
-4.126 -4.122 5.835
Se Ce Li Sc
8 3 4 1
direct
0.245 0.236 0.491 Se
0.758 0.247 0.515 Se
0.242 0.753 0.485 Se
0.242 0.752 0.010 Se
0.758 0.248 0.990 Se
0.768 0.752 0.010 Se
0.755 0.764 0.509 Se
0.232 0.248 0.990 Se
0.000 0.500 0.500 Ce
0.500 0.500 0.500 Ce
0.500 0.500 0.000 Ce
0.000 0.000 0.500 Li
0.500 0.000 0.500 Li
0.500 0.000 0.000 Li
0.000 0.000 0.000 Li
0.000 0.500 0.000 Sc
```

For the raw formation energy, the calculation gives -1.582 eV per atom. Its density of states at the Fermi level is 19.50 states/eV/cell. The calculation puts the volume at 23.9 A^3/atom. As for the space-group type: R-3m (166). Its total energy is -84.972 eV/cell.

---

Entry 3:
Nb2CrRu: optimized geometry, PBE.

```
Nb2CrRu
1.0
0.000 3.144 3.144
3.144 0.000 3.144
3.144 3.144 0.000
Nb Cr Ru
2 1 1
direct
0.750 0.750 0.750 Nb
0.250 0.250 0.250 Nb
0.000 0.000 0.000 Cr
0.500 0.500 0.500 Ru
```

Its density of states at the Fermi level is 1.79 states/eV/cell. The calculation puts the volume at 15.5 A^3/atom. As for the space-group type: Fm-3m (225). The energy of formation from the pure elements comes out at -0.16 eV/atom. Its total energy is -39.671 eV/cell.

---

Entry 4:
NaTmIn2: optimized geometry, PBE.

```
NaTmIn2
1.0
5.254 0.000 0.000
2.627 4.550 0.000
2.627 1.517 4.290
Na Tm In
1 1 2
direct
0.500 0.500 0.500 Na
0.000 0.000 0.000 Tm
0.750 0.750 0.750 In
0.250 0.250 0.250 In
```

Its density of states at the Fermi level is 1.53 states/eV/cell. The calculation puts the volume at 25.6 A^3/atom. As for the space-group type: Fm-3m (225). The energy of formation from the pure elements comes out at -0.25 eV/atom. Its total energy is -12.251 eV/cell.

---

Entry 5:
Li2YHf: optimized geometry, PBE.

```
Li2YHf
1.0
-1.040 1.586 4.809
-3.200 -0.811 -0.424
2.292 -10.336 2.470
Li Hf Y
4 2 2
direct
0.674 0.250 0.715 Li
0.758 0.750 0.504 Li
0.326 0.750 0.285 Li
0.242 0.250 0.496 Li
0.740 0.750 0.965 Hf
0.260 0.250 0.035 Hf
0.190 0.750 0.777 Y
0.810 0.250 0.223 Y
```

Its density of states at the Fermi level is 6.49 states/eV/cell. The calculation puts the volume at 23.2 A^3/atom. As for the space-group type: P2_1/m (11). The energy of formation from the pure elements comes out at 0.10 eV/atom. Its total energy is -39.671 eV/cell.

---

Entry 6:
K2Rb4S: optimized geometry, PBE.

```
K2Rb4S
1.0
-4.255 3.792 1.434
-1.292 1.827 -8.663
-2.825 -8.780 2.790
S Rb K
1 4 2
direct
0.000 0.000 0.000 S
0.129 0.790 0.259 Rb
0.470 0.769 0.940 Rb
0.530 0.231 0.060 Rb
0.871 0.210 0.741 Rb
0.186 0.280 0.372 K
0.814 0.720 0.628 K
```

For the raw formation energy, the calculation gives -0.352 eV per atom. Its density of states at the Fermi level is 3.96 states/eV/cell. The calculation puts the volume at 61.7 A^3/atom. As for the space-group type: C2/m (12). Its total energy is -12.659 eV/cell.